Entry 1:
Crystalline ZnCdPO2 at its relaxed geometry. Source: Alexandria, functional PBE.

abc: 4.054 4.054 5.417
angles: 90.00 90.00 90.00
Atoms (fractional coordinates):
Zn 0.000 0.000 0.000
Cd 0.500 0.500 0.500
P 0.500 0.500 0.000
O 0.000 0.500 0.500
O 0.500 0.000 0.500

Output
- Relative energy among the computed polymorphs: 0.4305 eV/atom
- Formation energy without anion corrections: 0.5182 eV per atom
- V: 89 Å³/f.u.
- M_tot: 1.15 Bohr magnetons per cell
- D(E_F): 4.6 states/eV/cell
- VASP energy: -0.219 Ry/atom



Entry 2:
Crystalline IrPt2Rh3 at its relaxed geometry. Source: Alexandria, functional PBE.

abc: 2.746 2.746 11.702
angles: 90.00 90.00 90.00
Atoms (fractional coordinates):
Ir 0.000 0.000 0.000
Pt 0.000 0.000 0.332
Pt 0.000 0.000 0.668
Rh 0.500 0.500 0.161
Rh 0.500 0.500 0.500
Rh 0.500 0.500 0.839

Output
- Relative energy among the computed polymorphs: 0.0000 eV/atom
- V: 88 Å³/f.u.
- M_tot: 0.00 Bohr magnetons per cell
- D(E_F): 9.5 states/eV/cell
- VASP energy: -0.529 Ry/atom
- DFT formation energy: -0.032 eV/atom



Entry 3:
Crystalline MnCo2GeH at its relaxed geometry. Source: Alexandria, functional PBE.

abc: 3.695 3.695 3.595
angles: 90.00 90.00 90.00
Atoms (fractional coordinates):
Mn 0.000 0.000 0.000
Co 0.000 0.500 0.500
Co 0.500 0.000 0.500
Ge 0.500 0.500 0.000
H 0.000 0.000 0.500

Output
- V: 49 Å³/f.u.
- M_tot: 4.05 Bohr magnetons per cell
- D(E_F): 2.9 states/eV/cell
- VASP energy: -0.471 Ry/atom



Entry 4:
Crystalline CsHg2AuBr8 at its relaxed geometry. Source: Alexandria, functional PBE.

abc: 7.538 7.732 9.869
angles: 77.76 81.73 67.36
Atoms (fractional coordinates):
Cs 0.000 0.000 0.000
Hg 0.475 0.480 0.704
Hg 0.525 0.520 0.296
Au 0.000 0.000 0.500
Br 0.007 0.758 0.712
Br 0.038 0.758 0.358
Br 0.438 0.268 0.925
Br 0.468 0.263 0.477
Br 0.532 0.737 0.523
Br 0.562 0.732 0.075
Br 0.962 0.242 0.642
Br 0.993 0.242 0.288

Output
- Formation energy without anion corrections: -0.5749 eV per atom
- V: 518 Å³/f.u.
- M_tot: 0.00 Bohr magnetons per cell
- VASP energy: -0.153 Ry/atom



Entry 5:
Crystalline AlTcP at its relaxed geometry. Source: Alexandria, functional PBE.

abc: 5.162 5.162 5.785
angles: 106.02 106.02 35.27
Atoms (fractional coordinates):
Al 0.172 0.172 0.124
Al 0.828 0.828 0.876
Tc 0.461 0.461 0.238
Tc 0.539 0.539 0.762
P 0.133 0.133 0.538
P 0.867 0.867 0.462

Output
- Relative energy among the computed polymorphs: 0.0962 eV/atom
- V: 43 Å³/f.u.
- M_tot: 0.00 Bohr magnetons per cell
- D(E_F): 2.0 states/eV/cell
- VASP energy: -0.509 Ry/atom
- DFT formation energy: -0.417 eV/atom



Entry 6:
Crystalline CaLa5Pr2Y at its relaxed geometry. Source: Alexandria, functional PBE.

abc: 11.340 11.340 10.780
angles: 90.00 90.00 150.92
Atoms (fractional coordinates):
Ca 0.102 0.898 0.500
Ca 0.898 0.102 0.000
La 0.000 0.000 0.250
La 0.000 0.000 0.750
La 0.121 0.879 0.000
La 0.223 0.777 0.304
La 0.223 0.777 0.697
La 0.498 0.502 0.000
La 0.502 0.498 0.500
La 0.777 0.223 0.197
La 0.777 0.223 0.804
La 0.879 0.121 0.500
Pr 0.384 0.616 0.271
Pr 0.384 0.616 0.729
Pr 0.616 0.384 0.229
Pr 0.616 0.384 0.771
Y 0.291 0.709 0.000
Y 0.709 0.291 0.500

Output
- V: 337 Å³/f.u.
- M_tot: 0.00 Bohr magnetons per cell
- D(E_F): 28.9 states/eV/cell
- VASP energy: -0.338 Ry/atom
- DFT formation energy: 0.141 eV/atom